Entry 1:
Ba6Ga2AuN | PBE-GGA | optimized geometry

Cell and atoms, written as CIF:
```
data_Ba6Ga2AuN
_chemical_formula_sum 'Ba12 Ga4 Au2 N2'
_cell_length_a 7.9190
_cell_length_b 8.5287
_cell_length_c 13.9562
_cell_angle_alpha 90.00
_cell_angle_beta 124.05
_cell_angle_gamma 90.00
_space_group_name_H-M_alt 'P 1 21/c 1'
_space_group_IT_number 14
_space_group_name_Hall '-P 2ybc'
loop_
_atom_site_label
_atom_site_type_symbol
_atom_site_fract_x
_atom_site_fract_y
_atom_site_fract_z
Ba1 Ba 0.1169 0.0297 0.2276
Ba2 Ba 0.2164 0.7124 0.0541
Ba3 Ba 0.3485 0.1701 0.0589
Ga1 Ga 0.2795 0.0871 0.7468
Au1 Au 0.5000 0.0000 0.5000
N1 N 0.0000 0.0000 0.0000
```

Values from the calculation:
crystal system = monoclinic
energy relative to the elements, uncorrected = -0.362 eV per atom
V = 390.5 Å³/f.u.

Entry 2:
Al2CdTe | PBE-GGA | optimized geometry

Cell and atoms, written as CIF:
```
data_Al2CdTe
_chemical_formula_sum 'Al2 Cd1 Te1'
_cell_length_a 3.0316
_cell_length_b 3.8043
_cell_length_c 7.8747
_cell_angle_alpha 90.00
_cell_angle_beta 90.00
_cell_angle_gamma 90.00
_space_group_name_H-M_alt 'P m m 2'
_space_group_IT_number 25
_space_group_name_Hall 'P 2 -2'
loop_
_atom_site_label
_atom_site_type_symbol
_atom_site_fract_x
_atom_site_fract_y
_atom_site_fract_z
Al1 Al 0.0000 0.0000 0.0000
Al2 Al 0.5000 0.5000 0.1870
Cd1 Cd 0.0000 0.0000 0.4264
Te1 Te 0.5000 0.5000 0.7431
```

Values from the calculation:
crystal system = orthorhombic
energy relative to the elements, uncorrected = 0.144 eV per atom
distance to the lowest polymorph of the same formula = 116 meV/atom
V = 90.8 Å³/f.u.

Entry 3:
ZrScVTc | PBE-GGA | optimized geometry

Cell and atoms, written as CIF:
```
data_ZrScVTc
_chemical_formula_sum 'Zr4 Sc4 V4 Tc4'
_cell_length_a 6.6280
_cell_length_b 6.6280
_cell_length_c 6.6280
_cell_angle_alpha 90.00
_cell_angle_beta 90.00
_cell_angle_gamma 90.00
_space_group_name_H-M_alt 'F -4 3 m'
_space_group_IT_number 216
_space_group_name_Hall 'F -4 2 3'
loop_
_atom_site_label
_atom_site_type_symbol
_atom_site_fract_x
_atom_site_fract_y
_atom_site_fract_z
Zr1 Zr 0.0000 0.0000 0.0000
Sc1 Sc 0.0000 0.0000 0.5000
V1 V 0.2500 0.2500 0.7500
Tc1 Tc 0.2500 0.2500 0.2500
```

Values from the calculation:
electronic total energy = -8.63 eV/atom
crystal system = cubic
V = 72.8 Å³/f.u.

Entry 4:
Ce2Sn3Au2 | PBE-GGA | optimized geometry

Cell and atoms, written as CIF:
```
data_Ce2Sn3Au2
_chemical_formula_sum 'Ce4 Sn6 Au4'
_cell_length_a 4.7547
_cell_length_b 20.7198
_cell_length_c 3.6208
_cell_angle_alpha 90.00
_cell_angle_beta 90.00
_cell_angle_gamma 90.00
_space_group_name_H-M_alt 'C m m m'
_space_group_IT_number 65
_space_group_name_Hall '-C 2 2'
loop_
_atom_site_label
_atom_site_type_symbol
_atom_site_fract_x
_atom_site_fract_y
_atom_site_fract_z
Ce1 Ce 0.0000 0.1582 0.0000
Sn1 Sn 0.0000 0.0000 0.0000
Sn2 Sn 0.0000 0.4245 0.5000
Au1 Au 0.0000 0.2857 0.5000
```

Values from the calculation:
electronic total energy = -4.85 eV/atom
crystal system = orthorhombic
V = 178.4 Å³/f.u.

Entry 5:
Sc2ZnNi | PBE-GGA | optimized geometry

Cell and atoms, written as CIF:
```
data_Sc2ZnNi
_chemical_formula_sum 'Sc2 Zn1 Ni1'
_cell_length_a 3.2184
_cell_length_b 3.2460
_cell_length_c 6.6573
_cell_angle_alpha 90.00
_cell_angle_beta 90.11
_cell_angle_gamma 90.00
_space_group_name_H-M_alt 'P 1 2/m 1'
_space_group_IT_number 10
_space_group_name_Hall '-P 2y'
loop_
_atom_site_label
_atom_site_type_symbol
_atom_site_fract_x
_atom_site_fract_y
_atom_site_fract_z
Sc1 Sc 0.0000 0.0000 0.2311
Zn1 Zn 0.5000 0.5000 0.5000
Ni1 Ni 0.5000 0.5000 0.0000
```

Values from the calculation:
electronic total energy = -5.37 eV/atom
crystal system = monoclinic
V = 69.5 Å³/f.u.

Entry 6:
Nb2SbH | PBE-GGA | optimized geometry

Cell and atoms, written as CIF:
```
data_Nb2SbH
_chemical_formula_sum 'Nb8 Sb4 H4'
_cell_length_a 5.2008
_cell_length_b 5.2008
_cell_length_c 10.3712
_cell_angle_alpha 90.00
_cell_angle_beta 90.00
_cell_angle_gamma 90.00
_space_group_name_H-M_alt 'I 41/a m d'
_space_group_IT_number 141
loop_
_space_group_symop_operation_xyz
'x,y,z'
'-x,-y,-z'
'-y+1/4,x+3/4,z+1/4'
'y+1/4,-x+3/4,-z+1/4'
'-x+1/2,-y,z+1/2'
'x+1/2,y,-z+1/2'
'y+1/4,-x+1/4,z+3/4'
'-y+1/4,x+1/4,-z+3/4'
'x,-y,-z'
'-x,y,z'
'-y+1/4,-x+1/4,-z+3/4'
'y+1/4,x+1/4,z+3/4'
'-x+1/2,y,-z+1/2'
'x+1/2,-y,z+1/2'
'y+1/4,x+3/4,-z+1/4'
'-y+1/4,-x+3/4,z+1/4'
'x+1/2,y+1/2,z+1/2'
'-x+1/2,-y+1/2,-z+1/2'
'-y+3/4,x+1/4,z+3/4'
'y+3/4,-x+1/4,-z+3/4'
'-x,-y+1/2,z'
'x,y+1/2,-z'
'y+3/4,-x+3/4,z+1/4'
'-y+3/4,x+3/4,-z+1/4'
'x+1/2,-y+1/2,-z+1/2'
'-x+1/2,y+1/2,z+1/2'
'-y+3/4,-x+3/4,-z+1/4'
'y+3/4,x+3/4,z+1/4'
'-x,y+1/2,-z'
'x,-y+1/2,z'
'y+3/4,x+1/4,-z+3/4'
'-y+3/4,-x+1/4,z+3/4'
loop_
_atom_site_label
_atom_site_type_symbol
_atom_site_fract_x
_atom_site_fract_y
_atom_site_fract_z
Nb1 Nb 0.0000 0.0000 0.0000
Sb1 Sb 0.0000 0.2500 0.3750
H1 H 0.0000 0.2500 0.8750
```

Values from the calculation:
crystal system = tetragonal
distance to the lowest polymorph of the same formula = 250 meV/atom
V = 70.1 Å³/f.u.

Entry 7:
PmDy2Lu | PBE-GGA | optimized geometry

Cell and atoms, written as CIF:
```
data_PmDy2Lu
_chemical_formula_sum 'Pm1 Dy2 Lu1'
_cell_length_a 5.0035
_cell_length_b 5.0035
_cell_length_c 5.0425
_cell_angle_alpha 90.00
_cell_angle_beta 90.00
_cell_angle_gamma 90.00
_space_group_name_H-M_alt 'P 4/m m m'
_space_group_IT_number 123
_space_group_name_Hall '-P 4 2'
loop_
_atom_site_label
_atom_site_type_symbol
_atom_site_fract_x
_atom_site_fract_y
_atom_site_fract_z
Pm1 Pm 0.0000 0.0000 0.0000
Dy1 Dy 0.0000 0.5000 0.5000
Lu1 Lu 0.5000 0.5000 0.0000
```

Values from the calculation:
crystal system = tetragonal
distance to the lowest polymorph of the same formula = 0 meV/atom
V = 126.2 Å³/f.u.

Entry 8:
Li2CaGa | PBE-GGA | optimized geometry

Cell and atoms, written as CIF:
```
data_Li2CaGa
_chemical_formula_sum 'Li2 Ca1 Ga1'
_cell_length_a 4.4664
_cell_length_b 4.4664
_cell_length_c 4.6242
_cell_angle_alpha 90.00
_cell_angle_beta 90.00
_cell_angle_gamma 90.00
_space_group_name_H-M_alt 'P 4/m m m'
_space_group_IT_number 123
_space_group_name_Hall '-P 4 2'
loop_
_atom_site_label
_atom_site_type_symbol
_atom_site_fract_x
_atom_site_fract_y
_atom_site_fract_z
Li1 Li 0.0000 0.5000 0.0000
Ca1 Ca 0.0000 0.0000 0.5000
Ga1 Ga 0.5000 0.5000 0.5000
```

Values from the calculation:
electronic total energy = -2.33 eV/atom
crystal system = tetragonal
V = 92.2 Å³/f.u.

Question: Which of these has the highest V?
Answer: Ba6Ga2AuN

What did the first record say?
Ba6Ga2AuN | PBE-GGA | optimized geometry

Cell and atoms, written as CIF:
```
data_Ba6Ga2AuN
_chemical_formula_sum 'Ba12 Ga4 Au2 N2'
_cell_length_a 7.9190
_cell_length_b 8.5287
_cell_length_c 13.9562
_cell_angle_alpha 90.00
_cell_angle_beta 124.05
_cell_angle_gamma 90.00
_space_group_name_H-M_alt 'P 1 21/c 1'
_space_group_IT_number 14
_space_group_name_Hall '-P 2ybc'
loop_
_atom_site_label
_atom_site_type_symbol
_atom_site_fract_x
_atom_site_fract_y
_atom_site_fract_z
Ba1 Ba 0.1169 0.0297 0.2276
Ba2 Ba 0.2164 0.7124 0.0541
Ba3 Ba 0.3485 0.1701 0.0589
Ga1 Ga 0.2795 0.0871 0.7468
Au1 Au 0.5000 0.0000 0.5000
N1 N 0.0000 0.0000 0.0000
```

Values from the calculation:
crystal system = monoclinic
energy relative to the elements, uncorrected = -0.362 eV per atom
V = 390.5 Å³/f.u.

Question: V of number 5 (Sc2ZnNi)?
Answer: 69.5 Å³/f.u.

Question: Which value of V does entry 5 give?
Answer: 69.5 Å³/f.u.